Version P
The following is a PBE calculation of a relaxed structure of SmYRu, from the Alexandria database.

## Properties
As for the volume: 80 Å³/cell. Its mass density is 7.1 Mg/m³.

Cell and atoms, written as POSCAR:
```
SmYRu
1.0
-0.883 4.161 -2.291
0.474 0.263 -4.801
-3.918 0.435 -2.794
Ru Y Sm
1 1 1
Cartesian
-1.082 1.215 -2.471 Ru
0.000 0.000 0.000 Y
-2.164 2.430 -4.943 Sm
```



Version Q
The following is a PBE calculation of a relaxed structure of SmYRu, from the Alexandria database.

## Properties
As for the volume: 447 Å³/cell. Its mass density is 7.6 Mg/m³.

Cell and atoms, written as POSCAR:
```
SmYRu
1.0
4.370 0.000 0.000
0.000 7.618 0.091
0.000 0.130 13.422
Y Ru Sm
6 6 6
Cartesian
3.277 1.223 7.284 Y
1.092 6.524 6.229 Y
3.277 4.911 10.708 Y
1.092 2.837 2.804 Y
3.277 0.247 12.179 Y
1.092 7.500 1.334 Y
3.277 2.142 10.041 Ru
3.277 5.854 7.929 Ru
1.092 5.903 12.368 Ru
1.092 5.605 3.471 Ru
1.092 1.894 5.584 Ru
3.277 1.845 1.145 Ru
1.092 7.529 9.648 Sm
1.092 3.670 8.350 Sm
1.092 2.861 12.389 Sm
3.277 0.219 3.865 Sm
3.277 4.078 5.163 Sm
3.277 4.887 1.124 Sm
```



Stability verdict: version Q, ahead by 3.7 kJ/mol of atoms



Version P
The following is a PBE calculation of a relaxed structure of Sm2YRu2, from the Alexandria database.

## Properties
As for the volume: 123 Å³/cell. Its mass density is 8.0 Mg/m³.

Cell and atoms, written as POSCAR:
```
Sm2YRu2
1.0
-1.886 -1.841 2.164
2.218 0.696 2.526
-4.399 8.908 3.742
Ru Sm Y
2 2 1
Cartesian
-3.287 6.865 5.661 Ru
-0.780 0.898 2.771 Ru
-2.597 6.108 2.931 Sm
0.416 3.496 3.337 Sm
0.000 0.000 0.000 Y
```



Version Q
The following is a PBE calculation of a relaxed structure of Sm2YRu2, from the Alexandria database.

## Properties
As for the volume: 254 Å³/cell. Its mass density is 7.7 Mg/m³.

Cell and atoms, written as POSCAR:
```
Sm2YRu2
1.0
4.393 0.000 0.000
0.000 5.525 -0.693
0.000 -2.994 10.828
Sm Ru Y
4 4 2
Cartesian
1.098 -0.050 5.537 Sm
1.098 1.628 9.023 Sm
3.295 0.903 1.112 Sm
3.295 2.581 4.598 Sm
1.098 -1.100 10.168 Ru
1.098 3.052 6.435 Ru
3.295 3.631 -0.033 Ru
3.295 -0.521 3.700 Ru
3.295 -1.240 8.367 Y
1.098 3.771 1.768 Y
```



Stability verdict: version P, ahead by 7.1 kJ/mol of atoms



Version P
The following is a PBE calculation of a relaxed structure of Sm2ZnRu, from the Alexandria database.

## Properties
As for the volume: 90 Å³/cell. Its mass density is 8.7 Mg/m³.

Cell and atoms, written as POSCAR:
```
Sm2ZnRu
1.0
5.022 0.000 0.000
2.511 4.349 0.000
2.511 1.450 4.100
Sm Zn Ru
2 1 1
Cartesian
2.511 1.450 1.025 Sm
7.532 4.349 3.075 Sm
0.000 0.000 0.000 Zn
5.022 2.899 2.050 Ru
```



Version Q
The following is a PBE calculation of a relaxed structure of Sm2ZnRu, from the Alexandria database.

## Properties
As for the volume: 189 Å³/cell. Its mass density is 8.2 Mg/m³.

Cell and atoms, written as POSCAR:
```
Sm2ZnRu
1.0
4.204 0.000 0.000
0.000 5.525 -2.149
0.000 -0.103 8.189
Sm Ru Zn
4 2 2
Cartesian
1.051 4.294 2.877 Sm
3.153 1.167 7.014 Sm
3.153 1.128 3.163 Sm
1.051 4.255 -0.974 Sm
1.051 1.911 5.110 Ru
3.153 3.511 0.930 Ru
3.153 3.513 5.036 Zn
1.051 1.909 1.004 Zn
```



Stability verdict: version Q, ahead by 5.1 kJ/mol of atoms



Version P
The following is a PBE calculation of a relaxed structure of Sm3ZnRu, from the Alexandria database.

## Properties
As for the volume: 535 Å³/cell. Its mass density is 7.7 Mg/m³.

Cell and atoms, written as POSCAR:
```
Sm3ZnRu
1.0
5.908 0.000 0.000
0.000 8.016 0.595
0.000 -0.523 11.254
Sm Ru Zn
12 4 4
Cartesian
5.416 5.460 10.854 Sm
5.189 -0.110 7.313 Sm
2.462 1.771 6.621 Sm
3.673 0.151 1.686 Sm
5.267 2.883 4.433 Sm
0.719 7.603 4.536 Sm
3.595 2.621 10.060 Sm
2.235 7.342 10.163 Sm
3.446 5.722 5.227 Sm
0.492 2.033 0.994 Sm
2.313 4.872 1.789 Sm
0.641 4.610 7.416 Sm
5.005 0.222 10.217 Ru
0.903 7.271 1.632 Ru
3.857 0.484 4.590 Ru
2.051 7.009 7.259 Ru
0.641 2.130 9.214 Zn
3.595 5.101 8.262 Zn
2.313 2.392 3.587 Zn
5.267 5.363 2.634 Zn
```



Version Q
The following is a PBE calculation of a relaxed structure of Sm3ZnRu, from the Alexandria database.

## Properties
As for the volume: 253 Å³/cell. Its mass density is 8.1 Mg/m³.

Cell and atoms, written as POSCAR:
```
Sm3ZnRu
1.0
5.765 0.085 -1.186
-2.654 5.118 -1.186
-0.076 -0.128 8.553
Ru Sm Zn
2 6 2
Cartesian
2.333 3.903 -1.779 Ru
0.778 1.301 -0.593 Ru
-0.107 1.035 2.131 Sm
-0.389 4.129 -0.387 Sm
0.517 2.078 5.236 Sm
2.518 2.998 0.945 Sm
3.142 4.041 4.050 Sm
3.424 0.947 6.568 Sm
-0.407 4.097 2.953 Zn
3.443 0.979 3.227 Zn
```



Stability verdict: version Q, ahead by 6.0 kJ/mol of atoms



Version P
The following is a PBE calculation of a relaxed structure of SmZn3Ru, from the Alexandria database.

## Properties
As for the volume: 362 Å³/cell. Its mass density is 8.2 Mg/m³.

Cell and atoms, written as POSCAR:
```
SmZn3Ru
1.0
4.983 0.000 0.000
0.000 9.834 0.000
0.000 0.000 7.380
Zn Sm Ru
12 4 4
Cartesian
2.492 1.782 1.845 Zn
3.736 7.375 3.336 Zn
3.739 2.459 7.025 Zn
1.244 7.376 3.336 Zn
3.739 2.459 4.044 Zn
2.491 8.052 5.535 Zn
1.244 7.376 0.354 Zn
1.247 2.459 7.025 Zn
4.983 6.699 5.535 Zn
3.736 7.375 0.354 Zn
0.000 3.135 1.845 Zn
1.247 2.459 4.044 Zn
2.492 4.864 1.845 Sm
4.983 0.053 1.845 Sm
2.492 4.971 5.535 Sm
0.000 9.781 5.535 Sm
0.000 4.917 3.690 Ru
0.000 4.917 0.000 Ru
2.492 0.000 0.000 Ru
2.492 0.000 3.690 Ru
```



Version Q
The following is a PBE calculation of a relaxed structure of SmZn3Ru, from the Alexandria database.

## Properties
As for the volume: 183 Å³/cell. Its mass density is 8.1 Mg/m³.

Cell and atoms, written as POSCAR:
```
SmZn3Ru
1.0
5.282 0.000 0.000
0.000 5.261 -2.201
0.000 -0.282 6.714
Ru Zn Sm
2 6 2
Cartesian
0.000 0.000 0.000 Ru
2.641 0.000 0.000 Ru
3.961 0.281 4.558 Zn
1.320 1.930 1.114 Zn
1.320 4.699 -0.045 Zn
3.961 0.887 2.120 Zn
1.320 4.092 2.393 Zn
3.961 3.049 3.400 Zn
3.961 3.112 0.051 Sm
1.320 1.867 4.463 Sm
```



Stability verdict: version Q, ahead by 6.9 kJ/mol of atoms



Version P
The following is a PBE calculation of a relaxed structure of Sm2Zn3Ru, from the Alexandria database.

## Properties
As for the volume: 130 Å³/cell. Its mass density is 7.7 Mg/m³.

Cell and atoms, written as POSCAR:
```
Sm2Zn3Ru
1.0
-0.137 -4.763 0.675
3.093 0.528 4.354
-5.582 2.639 0.337
Sm Zn Ru
2 3 1
Cartesian
-1.822 -2.158 1.556 Sm
-0.803 0.563 3.810 Sm
0.000 0.000 0.000 Zn
-3.161 0.402 2.197 Zn
0.535 -1.997 3.170 Zn
1.546 0.264 2.177 Ru
```



Version Q
The following is a PBE calculation of a relaxed structure of Sm2Zn3Ru, from the Alexandria database.

## Properties
As for the volume: 250 Å³/cell. Its mass density is 7.9 Mg/m³.

Cell and atoms, written as POSCAR:
```
Sm2Zn3Ru
1.0
-1.702 3.742 -4.099
-4.609 -0.012 3.530
6.174 3.846 4.244
Zn Sm Ru
6 4 2
Cartesian
1.023 1.936 1.343 Zn
-1.160 5.640 2.333 Zn
-1.916 3.769 -1.546 Zn
1.779 3.807 5.221 Zn
-3.383 1.875 2.304 Zn
3.246 5.701 1.371 Zn
-0.795 2.850 3.745 Sm
-1.632 0.965 -0.147 Sm
-4.678 2.765 -0.422 Sm
0.658 4.726 -0.070 Sm
-2.188 3.695 0.984 Ru
2.051 3.882 2.691 Ru
```



Stability verdict: version Q, ahead by 17.6 kJ/mol of atoms



Version P
The following is a PBE calculation of a relaxed structure of Sn3Ru, from the Alexandria database.

## Properties
As for the volume: 93 Å³/cell. Its mass density is 8.2 Mg/m³.

Cell and atoms, written as POSCAR:
```
Sn3Ru
1.0
-2.971 1.027 -0.166
-1.287 -3.979 -1.587
1.058 -0.630 7.025
Ru Sn
1 3
Cartesian
0.000 0.000 0.000 Ru
-1.326 -3.331 3.122 Sn
-1.874 -0.251 2.149 Sn
-2.129 -1.476 -0.877 Sn
```



Version Q
The following is a PBE calculation of a relaxed structure of Sn3Ru, from the Alexandria database.

## Properties
As for the volume: 209 Å³/cell. Its mass density is 7.2 Mg/m³.

Cell and atoms, written as POSCAR:
```
Sn3Ru
1.0
-8.492 -0.816 1.770
5.580 -6.223 2.460
0.437 1.491 2.782
Sn Ru
6 2
Cartesian
-3.089 -3.414 5.052 Sn
0.614 -2.134 1.960 Sn
-0.647 -5.181 3.791 Sn
-1.828 -0.366 3.220 Sn
3.030 -4.828 3.025 Sn
-5.505 -0.720 3.987 Sn
-3.692 -2.245 2.695 Ru
1.217 -3.302 4.316 Ru
```



Version R
The following is a PBE calculation of a relaxed structure of Sn3Ru, from the Alexandria database.

## Properties
As for the volume: 89 Å³/cell. Its mass density is 8.5 Mg/m³.

Cell and atoms, written as POSCAR:
```
Sn3Ru
1.0
3.330 0.000 0.000
0.000 6.178 0.000
-1.665 -3.089 4.320
Sn Ru
3 1
Cartesian
0.000 2.021 2.688 Sn
1.665 2.632 0.000 Sn
1.665 -1.068 1.632 Sn
0.000 0.534 0.000 Ru
```



Version S
The following is a PBE calculation of a relaxed structure of Sn3Ru, from the Alexandria database.

## Properties
As for the volume: 174 Å³/cell. Its mass density is 8.7 Mg/m³.

Cell and atoms, written as POSCAR:
```
Sn3Ru
1.0
-2.970 -2.485 -1.465
4.509 -0.405 -2.603
2.602 -6.349 5.494
Ru Sn
2 6
Cartesian
1.815 -6.739 1.899 Ru
2.325 -2.499 -0.473 Ru
0.801 -2.735 -2.838 Sn
4.531 -6.167 1.274 Sn
2.298 -3.964 2.065 Sn
3.339 -6.504 4.263 Sn
1.842 -5.275 -0.639 Sn
-0.391 -3.072 0.151 Sn
```



Stability verdict: version S, ahead by 6.9 kJ/mol of atoms



Version P
The following is a PBE calculation of a relaxed structure of SrSnRu3, from the Alexandria database.

## Properties
As for the volume: 122 Å³/cell. Its mass density is 7.0 Mg/m³.

Cell and atoms, written as POSCAR:
```
SrSnRu3
1.0
4.956 0.000 0.000
0.000 4.956 0.000
0.000 0.000 4.956
Sn Sr Ru
1 1 3
Cartesian
0.000 0.000 0.000 Sn
2.478 2.478 2.478 Sr
0.000 0.000 2.478 Ru
2.478 0.000 0.000 Ru
0.000 2.478 0.000 Ru
```



Version Q
The following is a PBE calculation of a relaxed structure of SrSnRu3, from the Alexandria database.

## Properties
As for the volume: 119 Å³/cell. Its mass density is 7.1 Mg/m³.

Cell and atoms, written as POSCAR:
```
SrSnRu3
1.0
4.921 0.000 0.000
0.000 4.921 0.000
0.000 0.000 4.921
Ru Sr Sn
3 1 1
Cartesian
2.460 0.000 0.000 Ru
0.000 2.460 0.000 Ru
0.000 0.000 2.460 Ru
0.000 0.000 0.000 Sr
2.460 2.460 2.460 Sn
```



Stability verdict: version P, ahead by 114.5 kJ/mol of atoms